A plane-wave DFT calculation with GGA+U was carried out for a relaxed structure of NaCoAsO.

Results
* energy above the lowest structure with this stoichiometry: 80 meV per atom
* E_tot: -4.499 eV per atom

Lattice parameters (Å, degrees): 3.0408 7.2491 6.3543 90.00 90.00 90.00
Space group Pmc2_1 (No. 26)
Asymmetric unit:
Na 0.0000 0.1049 0.0000 (multiplicity 2)
Co 0.5000 0.3080 0.4000 (multiplicity 2)
As 0.5000 0.3918 0.7575 (multiplicity 2)
O 0.0000 0.1658 0.3400 (multiplicity 2)